(1)
# PBE BPt, relaxed
# Crystal system   orthorhombic
# VASP energy   -6.364 eV/atom
# Formation energy   -0.01 eV/f.u.
data_BPt
_cell_length_a 5.058
_cell_length_b 5.794
_cell_length_c 7.067
_cell_angle_alpha 90.00
_cell_angle_beta 90.00
_cell_angle_gamma 90.00
_symmetry_space_group_name_H-M 'P 21 21 21'
_symmetry_Int_Tables_number 19
loop_
_symmetry_equiv_pos_as_xyz
'x,y,z'
'-x+1/2,-y,z+1/2'
'x+1/2,-y+1/2,-z'
'-x,y+1/2,-z+1/2'
loop_
_atom_site_label
_atom_site_type_symbol
_atom_site_fract_x
_atom_site_fract_y
_atom_site_fract_z
B1 B 0.079 0.152 0.330
B2 B 0.113 0.847 0.712
Pt1 Pt 0.067 0.339 0.062
Pt2 Pt 0.191 0.209 0.621

(2)
# PBE Er12Tm7Sn, relaxed
# Crystal system   trigonal
# VASP energy   -4.360 eV/atom
# Formation energy   2.87 eV/f.u.
data_Er12Tm7Sn
_cell_length_a 11.9619
_cell_length_b 11.9619
_cell_length_c 15.0128
_cell_angle_alpha 90.00
_cell_angle_beta 90.00
_cell_angle_gamma 120.00
_symmetry_space_group_name_H-M 'R -3'
_symmetry_Int_Tables_number 148
_symmetry_space_group_name_Hall '-R 3'
loop_
_atom_site_label
_atom_site_type_symbol
_atom_site_fract_x
_atom_site_fract_y
_atom_site_fract_z
Er1 Er 0.0293 0.5777 0.2055
Er2 Er 0.0583 0.4711 0.5886
Tm1 Tm 0.0000 0.0000 0.0000
Tm2 Tm 0.0479 0.8604 0.3056
Sn1 Sn 0.0000 0.0000 0.5000

(3)
# PBE NbTlSe2, relaxed
# Formation energy from raw total energies   -0.638 eV per atom
# Crystal system   trigonal
# VASP energy   -5.489 eV/atom
data_NbTlSe2
_cell_length_a 3.4683
_cell_length_b 3.4683
_cell_length_c 9.6641
_cell_angle_alpha 90.00
_cell_angle_beta 90.00
_cell_angle_gamma 120.00
_symmetry_space_group_name_H-M 'P 3 m 1'
_symmetry_Int_Tables_number 156
loop_
_symmetry_equiv_pos_as_xyz
'x,y,z'
'-y,x-y,z'
'-x+y,-x,z'
'-y,-x,z'
'-x+y,y,z'
'x,x-y,z'
loop_
_atom_site_label
_atom_site_type_symbol
_atom_site_fract_x
_atom_site_fract_y
_atom_site_fract_z
Nb1 Nb 0.0000 0.0000 0.0000
Tl1 Tl 0.3333 0.6667 0.4916
Se1 Se 0.3333 0.6667 0.8248
Se2 Se 0.6667 0.3333 0.1766

(4)
# PBE Ca2Zn2AgPt5, relaxed
# Crystal system   tetragonal
# VASP energy   -4.576 eV/atom
# Formation energy   -6.15 eV/f.u.
data_Ca2Zn2AgPt5
_cell_length_a 9.540
_cell_length_b 9.540
_cell_length_c 3.906
_cell_angle_alpha 90.00
_cell_angle_beta 90.00
_cell_angle_gamma 90.00
_symmetry_space_group_name_H-M 'P 4/m b m'
_symmetry_Int_Tables_number 127
_symmetry_space_group_name_Hall '-P 4 2ab'
loop_
_atom_site_label
_atom_site_type_symbol
_atom_site_fract_x
_atom_site_fract_y
_atom_site_fract_z
Ca1 Ca 0.177 0.323 0.000
Zn1 Zn 0.122 0.622 0.000
Ag1 Ag 0.000 0.000 0.000
Pt1 Pt 0.000 0.500 0.500
Pt2 Pt 0.065 0.793 0.500

(5)
# PBE LiBi2C, relaxed
# Crystal system   tetragonal
# VASP energy   -3.984 eV/atom
# Formation energy   2.96 eV/f.u.
data_LiBi2C
_cell_length_a 7.030
_cell_length_b 7.030
_cell_length_c 7.409
_cell_angle_alpha 90.00
_cell_angle_beta 90.00
_cell_angle_gamma 90.00
_symmetry_space_group_name_H-M 'I -4 2 d'
_symmetry_Int_Tables_number 122
_symmetry_space_group_name_Hall 'I -4 2bw'
loop_
_atom_site_label
_atom_site_type_symbol
_atom_site_fract_x
_atom_site_fract_y
_atom_site_fract_z
Li1 Li 0.000 0.000 0.000
Bi1 Bi 0.182 0.250 0.625
C1 C 0.000 0.000 0.500

(6)
# PBE Tl2CoPt, relaxed
# Crystal system   monoclinic
# VASP energy   -4.047 eV/atom
# Formation energy   1.69 eV/f.u.
data_Tl2CoPt
_cell_length_a 8.606
_cell_length_b 3.206
_cell_length_c 5.665
_cell_angle_alpha 90.00
_cell_angle_beta 103.13
_cell_angle_gamma 90.00
_symmetry_space_group_name_H-M 'C 1 2/m 1'
_symmetry_Int_Tables_number 12
loop_
_symmetry_equiv_pos_as_xyz
'x,y,z'
'-x,-y,-z'
'-x,y,-z'
'x,-y,z'
'x+1/2,y+1/2,z'
'-x+1/2,-y+1/2,-z'
'-x+1/2,y+1/2,-z'
'x+1/2,-y+1/2,z'
loop_
_atom_site_label
_atom_site_type_symbol
_atom_site_fract_x
_atom_site_fract_y
_atom_site_fract_z
Tl1 Tl 0.244 0.000 0.238
Co1 Co 0.000 0.500 0.000
Pt1 Pt 0.000 0.000 0.500

(7)
# PBE ReClF2, relaxed
# Formation energy from raw total energies   0.166 eV per atom
# Crystal system   cubic
# VASP energy   -4.343 eV/atom
# Energy above the lowest structure with this stoichiometry   520 meV/atom
data_ReClF2
_cell_length_a 5.987
_cell_length_b 5.987
_cell_length_c 5.987
_cell_angle_alpha 90.00
_cell_angle_beta 90.00
_cell_angle_gamma 90.00
_symmetry_space_group_name_H-M 'F m -3 m'
_symmetry_Int_Tables_number 225
_symmetry_space_group_name_Hall '-F 4 2 3'
loop_
_atom_site_label
_atom_site_type_symbol
_atom_site_fract_x
_atom_site_fract_y
_atom_site_fract_z
Re1 Re 0.000 0.000 0.000
Cl1 Cl 0.000 0.000 0.500
F1 F 0.250 0.250 0.250

(8)
# PBE CaB4Mo, relaxed
# Crystal system   orthorhombic
# VASP energy   -6.933 eV/atom
# Formation energy   -2.05 eV/f.u.
data_CaB4Mo
_cell_length_a 6.119
_cell_length_b 11.820
_cell_length_c 3.536
_cell_angle_alpha 90.00
_cell_angle_beta 90.00
_cell_angle_gamma 90.00
_symmetry_space_group_name_H-M 'P b a m'
_symmetry_Int_Tables_number 55
loop_
_symmetry_equiv_pos_as_xyz
'x,y,z'
'-x,-y,-z'
'-x,-y,z'
'x,y,-z'
'x+1/2,-y+1/2,-z'
'-x+1/2,y+1/2,z'
'-x+1/2,y+1/2,-z'
'x+1/2,-y+1/2,z'
loop_
_atom_site_label
_atom_site_type_symbol
_atom_site_fract_x
_atom_site_fract_y
_atom_site_fract_z
Ca1 Ca 0.125 0.151 0.000
B1 B 0.022 0.694 0.500
B2 B 0.115 0.548 0.500
B3 B 0.133 0.968 0.500
B4 B 0.209 0.814 0.500
Mo1 Mo 0.128 0.416 0.000